[1]
Material: V3GaB
Method: DFT, PBE-GGA
State: optimized geometry

Summary:
Uncorrected energy: -75.80 eV per cell
Symmetry: C2/m, No. 12
Energy relative to the lowest polymorph listed for this composition: 0 meV per atom

POSCAR file:
```
V3GaB
1.0
-3.9396 -0.6275 -1.2428
2.1221 -3.9909 2.3123
-2.2844 5.0875 4.6726
V Ga B
6 2 2
Cartesian
-3.6409 0.4316 4.2994
-0.4611 0.0374 1.4427
-4.1120 3.3985 4.2948
0.0101 -2.9294 1.4473
-2.6436 -1.7472 2.2383
-1.4583 2.2163 3.5038
-1.2112 -0.4764 4.0798
-2.8908 0.9454 1.6623
-2.0934 3.6928 4.7715
-2.0085 -3.2237 0.9706
```

***

[2]
Material: EuTiI2
Method: DFT, PBE-GGA
State: optimized geometry

Summary:
Uncorrected energy: -22.79 eV per cell
ΔE_f (raw): -380 meV/atom
Symmetry: R-3m, No. 166

POSCAR file:
```
EuTiI2
1.0
-2.1257 3.2697 -1.2827
-4.0900 0.0566 0.3521
-1.2174 5.2936 8.9411
Eu I Ti
1 2 1
Cartesian
0.0000 0.0000 0.0000
-1.5019 3.9004 5.8612
-5.9312 4.7195 2.1493
-3.7166 4.3100 4.0053
```

***

[3]
Material: FeSn2Pd9
Method: DFT, PBE-GGA
State: optimized geometry

Summary:
Uncorrected energy: -67.51 eV per cell
Symmetry: P4/mmm, No. 123

POSCAR file:
```
FeSn2Pd9
1.0
4.0060 0.0000 0.0000
0.0000 4.0060 0.0000
0.0000 0.0000 11.8912
Fe Sn Pd
1 2 9
Cartesian
0.0000 0.0000 0.0000
0.0000 0.0000 3.8954
0.0000 0.0000 7.9958
2.0030 2.0030 0.0000
2.0030 2.0030 3.9234
2.0030 2.0030 7.9678
2.0030 0.0000 1.8721
2.0030 0.0000 5.9456
2.0030 0.0000 10.0191
0.0000 2.0030 1.8721
0.0000 2.0030 5.9456
0.0000 2.0030 10.0191
```

***

[4]
Material: PaInB2Ir5
Method: DFT, PBE-GGA
State: optimized geometry

Summary:
Uncorrected energy: -73.59 eV per cell
Symmetry: P4/mmm, No. 123

POSCAR file:
```
PaInB2Ir5
1.0
4.1105 0.0000 0.0000
0.0000 4.1105 0.0000
0.0000 0.0000 8.4005
Pa In B Ir
1 1 2 5
Cartesian
0.0000 0.0000 4.2002
0.0000 0.0000 0.0000
2.0552 2.0552 1.6556
2.0552 2.0552 6.7449
0.0000 2.0552 2.0892
2.0552 0.0000 2.0892
0.0000 2.0552 6.3113
2.0552 0.0000 6.3113
2.0552 2.0552 4.2002
```

***

[5]
Material: EuZr2SnO6
Method: DFT, PBE-GGA
State: optimized geometry

Summary:
Uncorrected energy: -88.65 eV per cell
ΔE_f (raw): -2752 meV/atom
Symmetry: Cmmm, No. 65

POSCAR file:
```
EuZr2SnO6
1.0
4.0850 -4.1308 0.0000
4.0850 4.1308 0.0000
0.0000 0.0000 4.2320
Eu Zr Sn O
1 2 1 6
Cartesian
4.0850 0.0000 2.1160
2.0425 -2.0654 0.0000
2.0425 2.0654 0.0000
0.0000 0.0000 2.1160
2.0425 -2.0654 2.1160
2.0425 2.0654 2.1160
4.0850 -1.5012 0.0000
4.0850 1.5012 0.0000
6.6350 0.0000 0.0000
1.5350 0.0000 0.0000
```

***

[6]
Material: Hf3ZnCo
Method: DFT, PBE-GGA
State: optimized geometry

Summary:
Uncorrected energy: -77.25 eV per cell
Symmetry: Pm, No. 6
Energy relative to the lowest polymorph listed for this composition: 105 meV per atom

POSCAR file:
```
Hf3ZnCo
1.0
3.2180 -0.0003 -0.0006
0.0014 9.0809 0.3250
0.0021 3.5678 6.6204
Hf Zn Co
6 2 2
Cartesian
2.7796 6.1945 5.6297
2.7805 11.4901 4.8720
2.7789 5.6441 0.4550
1.1696 0.9555 1.4521
2.7798 7.6530 2.8507
1.1704 4.9936 3.1497
1.1715 8.9874 4.7108
2.7792 3.1567 1.8151
1.1701 7.5290 0.6935
1.1705 4.1954 5.5297
```

***

[7]
Material: Na2ZrTc
Method: DFT, PBE-GGA
State: optimized geometry

Summary:
Uncorrected energy: -16.70 eV per cell
Symmetry: Fm-3m, No. 225
Energy relative to the lowest polymorph listed for this composition: 577 meV per atom

POSCAR file:
```
Na2ZrTc
1.0
0.0000 3.4658 3.4658
3.4658 0.0000 3.4658
3.4658 3.4658 0.0000
Na Tc Zr
2 1 1
Cartesian
1.7329 1.7329 1.7329
5.1987 5.1987 5.1987
3.4658 3.4658 3.4658
0.0000 0.0000 0.0000
```

***

[8]
Material: Ba2FeReSe
Method: DFT, PBE-GGA
State: optimized geometry

Summary:
Uncorrected energy: -26.57 eV per cell
ΔE_f (raw): 334 meV/atom
Symmetry: P4/mmm, No. 123

POSCAR file:
```
Ba2FeReSe
1.0
6.0375 0.0000 0.0000
0.0000 4.4281 0.0000
0.0000 0.0000 6.0375
Re Ba Se Fe
1 2 1 1
Cartesian
0.0000 0.0000 0.0000
0.0000 0.0000 3.0188
3.0188 0.0000 0.0000
3.0188 2.2140 3.0188
0.0000 2.2140 0.0000
```

***

Please write out number 1 again, unchanged.
Material: V3GaB
Method: DFT, PBE-GGA
State: optimized geometry

Summary:
Uncorrected energy: -75.80 eV per cell
Symmetry: C2/m, No. 12
Energy relative to the lowest polymorph listed for this composition: 0 meV per atom

POSCAR file:
```
V3GaB
1.0
-3.9396 -0.6275 -1.2428
2.1221 -3.9909 2.3123
-2.2844 5.0875 4.6726
V Ga B
6 2 2
Cartesian
-3.6409 0.4316 4.2994
-0.4611 0.0374 1.4427
-4.1120 3.3985 4.2948
0.0101 -2.9294 1.4473
-2.6436 -1.7472 2.2383
-1.4583 2.2163 3.5038
-1.2112 -0.4764 4.0798
-2.8908 0.9454 1.6623
-2.0934 3.6928 4.7715
-2.0085 -3.2237 0.9706
```

***

What is the formula in the fourth record? PaInB2Ir5

***

Number 2 is which compound? EuTiI2

***

Among the records above, which one has the highest uncorrected energy? Na2ZrTc